# 1
Material: TbDyCdRh
Method: DFT, PBE
State: optimized geometry

It has space group P4mm (No. 99), with a = 3.5137 Å, b = 3.5137 Å, c = 7.5738 Å, α = 90.00°, β = 90.00° and γ = 90.00°. Symmetry generates all atoms from Tb at (0.0000, 0.0000, 0.0000), Dy at (0.0000, 0.0000, 0.5659), Cd at (0.5000, 0.5000, 0.2846) and Rh at (0.5000, 0.5000, 0.7811).

The value obtained for the total energy is -19.94 eV per formula unit. As for the offset from the most stable computed form: 0.0 kJ/mol of atoms. The calculation puts the energy of formation at -0.61 eV per atom.

---

# 2
Material: Ag4IrAu
Method: DFT, PBE
State: optimized geometry

It has space group F-43m (No. 216), with a = 7.5473 Å, b = 7.5473 Å, c = 7.5473 Å, α = 90.00°, β = 90.00° and γ = 90.00°. Symmetry generates all atoms from Ag at (0.1253, 0.1253, 0.1253), Ir at (0.0000, 0.0000, 0.5000) and Au at (0.2500, 0.2500, 0.7500).

The value obtained for the total energy is -20.35 eV per formula unit. The calculation puts the energy of formation at 0.53 eV per atom.

---

# 3
Material: Pm3NiCl3
Method: DFT, PBE
State: optimized geometry

It has space group I4_132 (No. 214), with a = 11.5522 Å, b = 11.5522 Å, c = 11.5522 Å, α = 90.00°, β = 90.00° and γ = 90.00°. Symmetry generates all atoms from Pm at (0.1126, 0.3626, 0.1250), Ni at (0.1250, 0.1250, 0.1250) and Cl at (0.1221, 0.1279, 0.6250).

The value obtained for the total energy is -35.63 eV per formula unit. The value obtained for the uncorrected formation energy is -10.1 eV/f.u.

---

# 4
Material: Tc2IrRu
Method: DFT, PBE
State: optimized geometry

It has space group Cmmm (No. 65), with a = 5.4542 Å, b = 7.7341 Å, c = 2.7226 Å, α = 90.00°, β = 90.00° and γ = 90.00°. Symmetry generates all atoms from Tc at (0.2500, 0.2500, 0.0000), Ir at (0.0000, 0.0000, 0.5000) and Ru at (0.0000, 0.5000, 0.5000).

The value obtained for the total energy is -39.17 eV per formula unit. As for the offset from the most stable computed form: 12.0 kJ/mol of atoms. The calculation puts the energy of formation at -0.07 eV per atom.

---

# 5
Material: GaSeN3
Method: DFT, PBE
State: optimized geometry

It has space group Pm-3m (No. 221), with a = 3.7704 Å, b = 3.7704 Å, c = 3.7704 Å, α = 90.00°, β = 90.00° and γ = 90.00°. Symmetry generates all atoms from Ga at (0.0000, 0.0000, 0.0000), Se at (0.5000, 0.5000, 0.5000) and N at (0.0000, 0.5000, 0.5000).

The value obtained for the total energy is -22.40 eV per formula unit. The value obtained for the uncorrected formation energy is 9.1 eV/f.u.

---

# 6
Material: TlSi2Tc
Method: DFT, PBE
State: optimized geometry

It has space group F-43m (No. 216), with a = 6.5054 Å, b = 6.5054 Å, c = 6.5054 Å, α = 90.00°, β = 90.00° and γ = 90.00°. Symmetry generates all atoms from Tl at (0.0000, 0.0000, 0.0000), Si at (0.0000, 0.0000, 0.5000), Si at (0.2500, 0.2500, 0.2500) and Tc at (0.2500, 0.2500, 0.7500).

The value obtained for the total energy is -20.17 eV per formula unit. As for the offset from the most stable computed form: 79.5 kJ/mol of atoms. The value obtained for the uncorrected formation energy is 3.4 eV/f.u.